Compound: Sm2Pd5Pt
Source: the Alexandria database
Functional: PBE-GGA
Structure: relaxed

Summary:
ΔH_f (0 K), meV/atom: -837

abc: 4.181 5.892 11.786
angles: 90.00 90.00 90.00
Element x y z (fractional)
Pd  0.000  0.500  0.500
Pd  0.000  0.002  0.749
Pd  0.000  0.998  0.251
Pd  0.500  0.252  0.875
Pd  0.500  0.752  0.625
Pd  0.000  0.498  0.249
Pd  0.500  0.748  0.125
Pd  0.000  0.502  0.751
Pd  0.000  0.000  0.000
Pd  0.500  0.248  0.375
Sm  0.500  0.749  0.375
Sm  0.500  0.251  0.625
Sm  0.500  0.751  0.875
Sm  0.500  0.249  0.125
Pt  0.000  0.500  0.000
Pt  0.000  0.000  0.500

***

Compound: K4AgBr3
Source: the Alexandria database
Functional: PBE-GGA
Structure: relaxed

Summary:
E_form (uncorrected), eV/atom: -1.2642

abc: 4.761 8.316 8.316
angles: 109.18 90.00 90.00
Element x y z (fractional)
Br  0.000  0.000  0.500
Br  0.000  0.500  0.000
Br  0.500  0.500  0.500
K  0.000  0.741  0.741
K  0.000  0.259  0.259
K  0.500  0.746  0.254
K  0.500  0.254  0.746
Ag  0.500  0.000  0.000

***

Compound: RePCl2
Source: the Alexandria database
Functional: PBE-GGA
Structure: relaxed

Summary:
E_form (uncorrected), eV/atom: 1.3280

abc: 5.004 5.004 2.813
angles: 90.00 90.00 111.54
Element x y z (fractional)
Cl  0.500  0.500  0.000
Cl  0.000  0.000  0.000
P  0.500  0.000  0.500
Re  0.000  0.500  0.500

***

Compound: LiPmEuPd
Source: the Alexandria database
Functional: PBE-GGA
Structure: relaxed

Summary:
ΔH_f (0 K), meV/atom: -305

abc: 5.189 5.189 5.189
angles: 60.00 60.00 60.00
Element x y z (fractional)
Eu  0.750  0.750  0.750
Li  0.500  0.500  0.500
Pd  0.000  0.000  0.000
Pm  0.250  0.250  0.250

***

Compound: Zn2Co2Tc
Source: the Alexandria database
Functional: PBE-GGA
Structure: relaxed

Summary:
ΔH_f (0 K), meV/atom: 257

abc: 7.122 7.122 2.552
angles: 90.00 90.00 90.00
Element x y z (fractional)
Tc  0.000  0.000  0.000
Tc  0.500  0.500  0.000
Co  0.385  0.885  0.000
Co  0.115  0.385  0.000
Co  0.885  0.615  0.000
Co  0.615  0.115  0.000
Zn  0.680  0.820  0.500
Zn  0.820  0.320  0.500
Zn  0.180  0.680  0.500
Zn  0.320  0.180  0.500

***

Compound: CeYAu4
Source: the Alexandria database
Functional: PBE-GGA
Structure: relaxed

Summary:
ΔH_f (0 K), meV/atom: -751

abc: 3.765 5.331 7.628
angles: 80.62 75.76 110.76
Element x y z (fractional)
Au  0.173  0.503  0.660
Au  0.340  0.000  0.824
Au  0.662  0.994  0.173
Au  0.830  0.492  0.337
Ce  0.501  0.497  0.998
Y  0.001  0.997  0.498

***

Compound: RuPb2Br
Source: the Alexandria database
Functional: PBE-GGA
Structure: relaxed

Summary:
E_form (uncorrected), eV/atom: 0.1275

abc: 3.433 3.433 8.072
angles: 90.00 90.00 90.00
Element x y z (fractional)
Br  0.500  0.500  0.750
Pb  0.000  0.000  0.458
Pb  0.000  0.000  0.042
Ru  0.500  0.500  0.250

***

Compound: PaPbS
Source: the Alexandria database
Functional: PBE-GGA
Structure: relaxed

Summary:
E_form (uncorrected), eV/atom: -0.6709

abc: 4.419 4.419 7.917
angles: 90.00 90.00 90.00
Element x y z (fractional)
S  0.500  0.500  0.000
S  0.000  0.000  0.000
Pa  0.000  0.500  0.801
Pa  0.500  0.000  0.199
Pb  0.000  0.500  0.387
Pb  0.500  0.000  0.613